Below is a relaxed structure of ReMoP2, with properties calculated at the PBE level.

## Properties
For the magnetic moment, the calculation gives 0.0 μB/cell. Its electronic total energy is -33.104 eV/cell. The calculation puts the calculated volume at 57 Å³/cell. The value obtained for the energy of formation from the pure elements is 0.249 eV/atom. The value obtained for the distance to the lowest polymorph of the same formula is 647 meV per atom.

The structure in POSCAR format:
```
ReMoP2
1.0
4.6388 -0.0116 0.0000
1.3829 4.4279 0.0000
-3.0108 -2.2082 2.7528
P Mo Re
2 1 1
direct
0.0000 0.0000 0.0000
0.2500 0.7500 0.5000
0.7500 0.2500 0.5000
0.5000 0.5000 0.0000
```